Cs2Tm2MgW4O16 (GGA+U, relaxed); energy above the lowest structure with this stoichiometry = 0.014 eV per atom; crystal system = triclinic
1.0
6.9133 0.0000 0.0000
2.9012 7.0544 0.0000
2.9426 2.0696 7.4256
Cs Tm Mg W O
2 2 1 4 16
Cartesian
0.0000 0.0000 0.0000
4.4966 2.1521 2.2429
6.2496 5.6892 2.1183
8.0730 3.4748 0.1492
5.1618 5.5331 4.8553
6.3900 2.6252 6.1174
7.9123 6.0956 6.1938
9.3167 5.0862 3.5263
7.9305 1.4944 3.5866
5.3876 7.3751 3.4738
4.3692 4.9783 3.0759
4.9308 3.9711 6.2005
6.0603 6.3281 6.5938
8.1137 7.9324 5.8498
6.3900 7.0572 0.5028
7.4131 5.6613 4.2403
5.8963 4.1841 0.4537
7.6645 4.1681 6.5112
6.4661 2.8051 4.1434
9.6011 7.1517 3.1989
8.3567 4.9828 1.7470
10.8343 8.3794 5.5108
9.8259 5.6382 5.4787
7.9087 2.1223 1.7840
9.1439 3.2547 3.8252